{"formula": "SrYPO2", "functional": "meta-GGA SCAN", "state": "single point on PBEsol structure", "formation_energy_uncorrected_ev_per_atom": -1.831, "space_group": "P4/mmm (123)", "total_magnetization_mub_per_atom": 0.384, "lattice_angstrom": [[4.376, 0.000, 0.000], [0.000, 4.376, 0.000], [0.000, 0.000, 5.332]], "species": ["Y", "Sr", "O", "O", "P"], "fractional_positions": [[0.000, 0.000, 0.000], [0.500, 0.500, 0.500], [0.000, 0.500, 0.000], [0.500, 0.000, 0.000], [0.000, 0.000, 0.500]]}

{"formula": "SiPb2Se", "functional": "meta-GGA SCAN", "state": "single point on PBEsol structure", "formation_energy_uncorrected_ev_per_atom": 0.198, "space_group": "Imm2 (44)", "relative_energy_ev_per_atom": 0.105, "total_magnetization_mub_per_atom": 0.000, "lattice_angstrom": [[3.491, 0.000, 0.000], [0.000, 5.330, 0.000], [-1.745, -2.665, 5.172]], "species": ["Pb", "Pb", "Se", "Si"], "fractional_positions": [[0.975, 0.975, 0.950], [0.763, 0.263, 0.526], [0.544, 0.544, 0.087], [0.219, 0.719, 0.437]]}

{"formula": "CaAg2Br", "functional": "meta-GGA SCAN", "state": "single point on PBEsol structure", "formation_energy_uncorrected_ev_per_atom": -0.536, "space_group": "P2/m (10)", "relative_energy_ev_per_atom": 0.000, "total_magnetization_mub_per_atom": 0.000, "lattice_angstrom": [[3.803, 0.003, 0.000], [-0.048, 4.142, 0.000], [0.000, 0.000, 5.790]], "species": ["Ca", "Br", "Ag", "Ag"], "fractional_positions": [[0.500, 0.000, 0.500], [0.000, 0.500, 0.500], [0.253, 0.246, 0.000], [0.747, 0.754, 0.000]]}

{"formula": "SrCr2Pt", "functional": "meta-GGA SCAN", "state": "single point on PBEsol structure", "formation_energy_ev_per_atom": 0.03, "space_group": "P4mm (99)", "total_magnetization_mub_per_atom": 0.115, "lattice_angstrom": [[-2.136, 1.872, 1.229], [0.809, -0.939, 2.836], [5.007, 5.463, 0.380]], "species": ["Cr", "Cr", "Pt", "Sr"], "fractional_positions": [[0.000, 0.000, 0.084], [0.500, 0.500, 0.228], [0.000, 0.000, 0.449], [0.500, 0.500, 0.739]]}

{"formula": "TaTeI2O", "functional": "meta-GGA SCAN", "state": "single point on PBEsol structure", "formation_energy_uncorrected_ev_per_atom": 0.895, "space_group": "P4/mmm (123)", "total_magnetization_mub_per_atom": 0.745, "lattice_angstrom": [[3.933, 0.000, 0.000], [0.000, 5.926, 0.000], [0.000, 0.000, 5.926]], "species": ["I", "I", "Te", "O", "Ta"], "fractional_positions": [[0.000, 0.000, 0.500], [0.000, 0.500, 0.000], [0.000, 0.000, 0.000], [0.500, 0.000, 0.000], [0.500, 0.500, 0.500]]}

{"formula": "Cr3CuO8", "functional": "meta-GGA SCAN", "state": "single point on PBEsol structure", "formation_energy_uncorrected_ev_per_atom": -1.851, "space_group": "C2/m (12)", "total_magnetization_mub_per_atom": 0.252, "lattice_angstrom": [[-2.863, -3.973, 0.009], [2.542, -4.106, -0.810], [0.903, -0.982, 6.114]], "species": ["Cr", "Cr", "Cr", "Cu", "O", "O", "O", "O", "O", "O", "O", "O"], "fractional_positions": [[0.647, 0.647, 0.264], [0.353, 0.353, 0.736], [0.000, 0.000, 0.500], [0.000, 0.000, 0.000], [0.212, 0.729, 0.728], [0.764, 0.764, 0.045], [0.729, 0.212, 0.728], [0.230, 0.230, 0.534], [0.271, 0.788, 0.272], [0.770, 0.770, 0.466], [0.788, 0.271, 0.272], [0.236, 0.236, 0.955]]}

{"formula": "CrSnBr3", "functional": "meta-GGA SCAN", "state": "single point on PBEsol structure", "formation_energy_uncorrected_ev_per_atom": -0.123, "space_group": "Pm-3m (221)", "total_magnetization_mub_per_atom": 1.019, "lattice_angstrom": [[-3.117, -1.298, 4.462], [-2.915, -3.638, -3.095], [3.619, -4.049, 1.351]], "species": ["Cr", "Sn", "Br", "Br", "Br"], "fractional_positions": [[0.500, 0.500, 0.500], [0.000, 0.000, 0.000], [0.000, 0.500, 0.000], [0.000, 0.000, 0.500], [0.500, 0.000, 0.000]]}

{"formula": "CsAsN3", "functional": "meta-GGA SCAN", "state": "single point on PBEsol structure", "formation_energy_uncorrected_ev_per_atom": 1.484, "space_group": "Pm-3m (221)", "total_magnetization_mub_per_atom": 0.682, "lattice_angstrom": [[4.097, 0.000, 0.000], [0.000, 4.097, 0.000], [0.000, 0.000, 4.097]], "species": ["Cs", "As", "N", "N", "N"], "fractional_positions": [[0.500, 0.500, 0.500], [0.000, 0.000, 0.000], [0.000, 0.500, 0.000], [0.000, 0.000, 0.500], [0.500, 0.000, 0.000]]}

{"formula": "AsP2OsO", "functional": "meta-GGA SCAN", "state": "single point on PBEsol structure", "formation_energy_uncorrected_ev_per_atom": 0.230, "space_group": "P4/mmm (123)", "total_magnetization_mub_per_atom": 0.000, "lattice_angstrom": [[-0.956, 1.911, -2.958], [-4.313, -1.896, 0.168], [-1.449, 3.540, 2.755]], "species": ["P", "P", "As", "Os", "O"], "fractional_positions": [[0.000, 0.000, 0.500], [0.000, 0.500, 0.000], [0.500, 0.500, 0.500], [0.000, 0.000, 0.000], [0.500, 0.000, 0.000]]}

{"formula": "CaHg2Te", "functional": "meta-GGA SCAN", "state": "single point on PBEsol structure", "formation_energy_uncorrected_ev_per_atom": -0.742, "space_group": "Cmmm (65)", "total_magnetization_mub_per_atom": 0.000, "lattice_angstrom": [[-1.834, 3.989, 0.109], [-1.384, -0.685, -4.111], [-4.845, -2.282, 2.011]], "species": ["Ca", "Te", "Hg", "Hg"], "fractional_positions": [[0.000, 0.000, 0.500], [0.500, 0.500, 0.500], [0.750, 0.250, 0.000], [0.250, 0.750, 0.000]]}

{"formula": "SrLi2Cd2", "functional": "meta-GGA SCAN", "state": "single point on PBEsol structure", "formation_energy_ev_per_atom": -0.24, "space_group": "P4/mbm (127)", "relative_energy_ev_per_atom": 0.030, "total_magnetization_mub_per_atom": 0.000, "lattice_angstrom": [[-2.207, 0.163, 2.541], [3.010, -7.028, 3.066], [5.448, 4.278, 4.458]], "species": ["Sr", "Sr", "Li", "Li", "Li", "Li", "Cd", "Cd", "Cd", "Cd"], "fractional_positions": [[0.000, 0.000, 0.000], [0.000, 0.500, 0.500], [0.000, 0.379, 0.879], [0.000, 0.879, 0.621], [0.000, 0.621, 0.121], [0.000, 0.121, 0.379], [0.500, 0.170, 0.670], [0.500, 0.670, 0.830], [0.500, 0.830, 0.330], [0.500, 0.330, 0.170]]}

{"formula": "CdHgP2", "functional": "meta-GGA SCAN", "state": "single point on PBEsol structure", "formation_energy_ev_per_atom": 0.36, "space_group": "C2/m (12)", "relative_energy_ev_per_atom": 0.000, "total_magnetization_mub_per_atom": 0.000, "lattice_angstrom": [[-0.125, 3.139, 3.169], [-3.867, 0.369, -2.569], [-0.123, -4.168, 2.074]], "species": ["Cd", "Hg", "P", "P"], "fractional_positions": [[0.500, 0.000, 0.000], [0.500, 0.500, 0.500], [0.000, 0.500, 0.000], [0.000, 0.000, 0.500]]}

{"formula": "Ca2InRh", "functional": "meta-GGA SCAN", "state": "single point on PBEsol structure", "formation_energy_ev_per_atom": -0.45, "space_group": "P4/mmm (123)", "total_magnetization_mub_per_atom": 0.000, "lattice_angstrom": [[-0.276, -0.195, 3.466], [3.260, -1.210, 0.191], [2.605, 7.113, 0.606]], "species": ["Ca", "Ca", "Rh", "In"], "fractional_positions": [[0.000, 0.000, 0.712], [0.000, 0.000, 0.288], [0.500, 0.500, 0.500], [0.500, 0.500, 0.000]]}

{"formula": "LaZr2Cu2", "functional": "meta-GGA SCAN", "state": "single point on PBEsol structure", "formation_energy_ev_per_atom": -0.02, "space_group": "I4/mmm (139)", "total_magnetization_mub_per_atom": 0.000, "lattice_angstrom": [[4.439, 0.000, 0.000], [0.000, 4.439, 0.000], [-2.219, -2.219, 5.375]], "species": ["Cu", "Cu", "Zr", "Zr", "La"], "fractional_positions": [[0.392, 0.392, 0.783], [0.608, 0.608, 0.217], [0.250, 0.750, 0.500], [0.750, 0.250, 0.500], [0.000, 0.000, 0.000]]}

{"formula": "Ti2NiH2", "functional": "meta-GGA SCAN", "state": "single point on PBEsol structure", "space_group": "I4/mmm (139)", "total_magnetization_mub_per_atom": 0.196, "lattice_angstrom": [[2.904, 0.000, 0.000], [0.000, 2.904, 0.000], [-1.452, -1.452, 5.569]], "species": ["Ni", "Ti", "Ti", "H", "H"], "fractional_positions": [[0.000, 0.000, 0.000], [0.360, 0.360, 0.720], [0.640, 0.640, 0.280], [0.250, 0.750, 0.500], [0.750, 0.250, 0.500]]}

{"formula": "AgRu2Pb", "functional": "meta-GGA SCAN", "state": "single point on PBEsol structure", "formation_energy_ev_per_atom": 0.83, "space_group": "R-3m (166)", "total_magnetization_mub_per_atom": 0.000, "lattice_angstrom": [[2.990, 0.000, 0.000], [1.495, 2.589, 0.000], [1.495, 0.863, 8.631]], "species": ["Ag", "Pb", "Ru", "Ru"], "fractional_positions": [[0.500, 0.500, 0.500], [0.000, 0.000, 0.000], [0.251, 0.251, 0.248], [0.749, 0.749, 0.752]]}

{"formula": "Li2MgRe", "functional": "meta-GGA SCAN", "state": "single point on PBEsol structure", "formation_energy_ev_per_atom": 0.30, "space_group": "C2/m (12)", "relative_energy_ev_per_atom": 0.082, "total_magnetization_mub_per_atom": 0.000, "lattice_angstrom": [[2.541, 0.002, 0.000], [-0.384, 5.064, 0.000], [-1.079, -2.533, 4.740]], "species": ["Li", "Li", "Mg", "Re"], "fractional_positions": [[0.000, 0.000, 0.500], [0.500, 0.500, 0.500], [0.500, 0.000, 0.000], [0.000, 0.500, 0.000]]}

{"formula": "KSbSe", "functional": "meta-GGA SCAN", "state": "single point on PBEsol structure", "formation_energy_uncorrected_ev_per_atom": -0.239, "space_group": "P-6m2 (187)", "total_magnetization_mub_per_atom": 0.000, "lattice_angstrom": [[-1.385, -1.983, -1.939], [4.500, -3.126, -0.018], [-3.933, -0.881, 3.712]], "species": ["Sb", "K", "Se"], "fractional_positions": [[0.000, 0.667, 0.333], [0.500, 0.000, 0.000], [0.000, 0.333, 0.667]]}

{"formula": "BaAg3", "functional": "meta-GGA SCAN", "state": "single point on PBEsol structure", "formation_energy_ev_per_atom": -0.19, "space_group": "Pnma (62)", "relative_energy_ev_per_atom": 0.005, "total_magnetization_mub_per_atom": 0.000, "lattice_angstrom": [[-6.089, -0.524, 0.938], [0.310, -7.328, -2.080], [1.395, -2.168, 7.846]], "species": ["Ba", "Ba", "Ba", "Ba", "Ag", "Ag", "Ag", "Ag", "Ag", "Ag", "Ag", "Ag", "Ag", "Ag", "Ag", "Ag"], "fractional_positions": [[0.621, 0.750, 0.972], [0.121, 0.250, 0.528], [0.879, 0.750, 0.472], [0.379, 0.250, 0.028], [0.147, 0.750, 0.134], [0.647, 0.250, 0.366], [0.353, 0.750, 0.634], [0.853, 0.250, 0.866], [0.582, 0.063, 0.659], [0.082, 0.937, 0.841], [0.918, 0.437, 0.159], [0.418, 0.563, 0.341], [0.418, 0.937, 0.341], [0.918, 0.063, 0.159], [0.082, 0.563, 0.841], [0.582, 0.437, 0.659]]}

{"formula": "Ta3Fe8Si", "functional": "meta-GGA SCAN", "state": "single point on PBEsol structure", "formation_energy_uncorrected_ev_per_atom": -0.089, "space_group": "P3m1 (156)", "total_magnetization_mub_per_atom": 1.055, "lattice_angstrom": [[4.672, 0.000, 0.000], [-2.336, 4.046, 0.000], [0.000, 0.000, 7.647]], "species": ["Ta", "Ta", "Ta", "Fe", "Fe", "Fe", "Fe", "Fe", "Fe", "Fe", "Fe", "Si"], "fractional_positions": [[0.667, 0.333, 0.557], [0.667, 0.333, 0.932], [0.000, 0.000, 0.082], [0.333, 0.667, 0.497], [0.333, 0.667, 0.992], [0.502, 0.004, 0.251], [0.996, 0.498, 0.251], [0.502, 0.498, 0.251], [0.163, 0.326, 0.747], [0.674, 0.837, 0.747], [0.163, 0.837, 0.747], [0.000, 0.000, 0.446]]}

no.,total energy (eV/atom)
1,-16.427
2,-45.216
3,-23.500
4,-32.275
5,-35.815
6,-11.868
7,-22.660
8,-15.691
9,-23.590
10,-46.554
11,-17.815
12,-29.480
13,-22.076
14,-27.000
15,-11.486
16,-43.367
17,-19.912
18,-22.128
19,-33.605
20,-29.656